The following is a DFT calculation (PBE) of a geometry-optimized Dy4AgPdRh2 structure.

Results
spin magnetization = 0.00 μB per formula unit
symmetry = R-3m (166)
crystal system = trigonal
calculated total energy = -5.878 eV per atom
energy of formation from the pure elements = -0.7334 eV per atom
mass density = 10395 kg/m3

Unit cell a=8.552 b=8.552 c=8.552 alpha=33.63 beta=33.63 gamma=33.63
Fractional coordinates of all 8 atoms:
Dy  0.123  0.123  0.123
Dy  0.373  0.373  0.373
Dy  0.627  0.627  0.627
Dy  0.877  0.877  0.877
Ag  0.500  0.500  0.500
Pd  0.000  0.000  0.000
Rh  0.250  0.250  0.250
Rh  0.750  0.750  0.750

***

The following is a DFT calculation (PBE) of a geometry-optimized LiMn2As structure.

Results
spin magnetization = 5.20 μB per formula unit
symmetry = Immm (71)
crystal system = orthorhombic
calculated total energy = -6.306 eV per atom
energy of formation from the pure elements = -0.0799 eV per atom
mass density = 6287 kg/m3

Unit cell a=4.509 b=4.509 c=4.509 alpha=131.34 beta=131.27 gamma=71.33
Fractional coordinates of all 4 atoms:
Li  0.000  0.000  0.000
Mn  0.251  0.751  0.500
Mn  0.749  0.249  0.500
As  0.500  0.500  0.000

***

The following is a DFT calculation (PBE) of a geometry-optimized YCoAsBr2 structure.

Results
spin magnetization = 1.99 μB per formula unit
symmetry = P4/mmm (123)
crystal system = tetragonal
calculated total energy = -4.235 eV per atom
uncorrected formation energy = 0.078 eV per atom
mass density = 3697 kg/m3
distance to the lowest polymorph of the same formula = 358 meV/atom

Unit cell a=5.433 b=5.433 c=5.823 alpha=90.00 beta=90.00 gamma=90.00
Fractional coordinates of all 5 atoms:
Y  0.000  0.000  0.000
Co  0.500  0.500  0.500
As  0.000  0.000  0.500
Br  0.000  0.500  0.000
Br  0.500  0.000  0.000

***

The following is a DFT calculation (PBE) of a geometry-optimized AcPr3Se6 structure.

Results
spin magnetization = 0.00 μB per formula unit
symmetry = C2/m (12)
crystal system = monoclinic
calculated total energy = -5.682 eV per atom
uncorrected formation energy = -1.746 eV per atom
mass density = 5414 kg/m3
distance to the lowest polymorph of the same formula = 180 meV/atom

Unit cell a=7.885 b=7.885 c=7.444 alpha=117.06 beta=117.06 gamma=61.30
Fractional coordinates of all 10 atoms:
Ac  0.000  0.000  0.000
Pr  0.251  0.251  0.688
Pr  0.500  0.500  0.500
Pr  0.749  0.749  0.312
Se  0.155  0.652  0.647
Se  0.258  0.258  0.082
Se  0.348  0.845  0.353
Se  0.652  0.155  0.647
Se  0.742  0.742  0.918
Se  0.845  0.348  0.353

***

The following is a DFT calculation (PBE) of a geometry-optimized AcErGe4 structure.

Results
spin magnetization = 0.00 μB per formula unit
symmetry = F-43m (216)
crystal system = cubic
calculated total energy = -4.817 eV per atom
energy of formation from the pure elements = -0.2939 eV per atom
mass density = 8249 kg/m3
distance to the lowest polymorph of the same formula = 251 meV/atom

Unit cell a=5.798 b=5.798 c=5.798 alpha=60.00 beta=60.00 gamma=60.00
Fractional coordinates of all 6 atoms:
Ac  0.000  0.000  0.000
Er  0.750  0.750  0.750
Ge  0.380  0.380  0.380
Ge  0.380  0.380  0.861
Ge  0.380  0.861  0.380
Ge  0.861  0.380  0.380

***

The following is a DFT calculation (PBE) of a geometry-optimized LiSmZr structure.

Results
spin magnetization = 0.00 μB per formula unit
symmetry = P4/nmm (129)
crystal system = tetragonal
calculated total energy = -4.976 eV per atom
energy of formation from the pure elements = 0.0841 eV per atom
mass density = 5203 kg/m3
distance to the lowest polymorph of the same formula = 0 meV/atom

Unit cell a=3.836 b=3.836 c=10.779 alpha=90.00 beta=90.00 gamma=90.00
Fractional coordinates of all 6 atoms:
Li  0.250  0.250  0.064
Li  0.750  0.750  0.936
Sm  0.250  0.250  0.744
Sm  0.750  0.750  0.256
Zr  0.250  0.250  0.440
Zr  0.750  0.750  0.560

***

The following is a DFT calculation (PBE) of a geometry-optimized MgHIr2Pt structure.

Results
spin magnetization = 0.00 μB per formula unit
symmetry = P4/mmm (123)
crystal system = tetragonal
calculated total energy = -5.881 eV per atom
mass density = 15889 kg/m3
distance to the lowest polymorph of the same formula = 55 meV/atom

Unit cell a=3.970 b=3.970 c=4.011 alpha=90.00 beta=90.00 gamma=90.00
Fractional coordinates of all 5 atoms:
Mg  0.000  0.000  0.000
H  0.500  0.500  0.500
Ir  0.000  0.500  0.500
Ir  0.500  0.000  0.500
Pt  0.500  0.500  0.000

***

The following is a DFT calculation (PBE) of a geometry-optimized FeB2SbSe structure.

Results
spin magnetization = 0.78 μB per formula unit
symmetry = P4/mmm (123)
crystal system = tetragonal
calculated total energy = -4.981 eV per atom
uncorrected formation energy = 0.904 eV per atom
mass density = 5895 kg/m3

Unit cell a=3.934 b=3.934 c=5.065 alpha=90.00 beta=90.00 gamma=90.00
Fractional coordinates of all 5 atoms:
Fe  0.000  0.000  0.000
B  0.000  0.500  0.000
B  0.500  0.000  0.000
Sb  0.500  0.500  0.500
Se  0.000  0.000  0.500

***

The following is a DFT calculation (PBE) of a geometry-optimized Gd2MgP structure.

Results
spin magnetization = 14.75 μB per formula unit
symmetry = R-3m (166)
crystal system = trigonal
calculated total energy = -9.534 eV per atom
energy of formation from the pure elements = -0.7423 eV per atom
mass density = 5509 kg/m3

Unit cell a=8.817 b=8.817 c=8.817 alpha=25.45 beta=25.45 gamma=25.45
Fractional coordinates of all 4 atoms:
Gd  0.230  0.230  0.230
Gd  0.770  0.770  0.770
Mg  0.000  0.000  0.000
P  0.500  0.500  0.500

***

The following is a DFT calculation (PBE) of a geometry-optimized Tl14Bi2Te9 structure.

Results
spin magnetization = 0.00 μB per formula unit
symmetry = P-3 (147)
crystal system = trigonal
calculated total energy = -2.973 eV per atom
uncorrected formation energy = -0.206 eV per atom
mass density = 8209 kg/m3

Unit cell a=10.419 b=10.419 c=9.526 alpha=90.00 beta=90.00 gamma=120.00
Fractional coordinates of all 25 atoms:
Tl  0.000  0.000  0.173
Tl  0.000  0.000  0.827
Tl  0.020  0.679  0.538
Tl  0.139  0.459  0.137
Tl  0.321  0.341  0.538
Tl  0.321  0.861  0.137
Tl  0.341  0.020  0.462
Tl  0.459  0.321  0.863
Tl  0.541  0.679  0.137
Tl  0.659  0.980  0.538
Tl  0.679  0.139  0.863
Tl  0.679  0.659  0.462
Tl  0.861  0.541  0.863
Tl  0.980  0.321  0.462
Bi  0.333  0.667  0.801
Bi  0.667  0.333  0.199
Te  0.000  0.000  0.500
Te  0.059  0.353  0.809
Te  0.294  0.941  0.809
Te  0.333  0.667  0.467
Te  0.353  0.294  0.191
Te  0.647  0.706  0.809
Te  0.667  0.333  0.533
Te  0.706  0.059  0.191
Te  0.941  0.647  0.191

***

The following is a DFT calculation (PBE) of a geometry-optimized Tc2NCl8 structure.

Results
spin magnetization = 3.03 μB per formula unit
symmetry = C2/m (12)
crystal system = monoclinic
calculated total energy = -4.450 eV per atom
uncorrected formation energy = -0.466 eV per atom
mass density = 1928 kg/m3

Unit cell a=8.546 b=8.546 c=7.335 alpha=109.40 beta=109.40 gamma=59.15
Fractional coordinates of all 11 atoms:
Tc  0.119  0.119  0.189
Tc  0.881  0.881  0.811
N  0.000  0.000  0.000
Cl  0.126  0.126  0.500
Cl  0.149  0.599  0.797
Cl  0.244  0.244  0.091
Cl  0.401  0.851  0.203
Cl  0.599  0.149  0.797
Cl  0.756  0.756  0.909
Cl  0.851  0.401  0.203
Cl  0.874  0.874  0.500

***

The following is a DFT calculation (PBE) of a geometry-optimized Pr2Nd12Y7 structure.

Results
spin magnetization = 0.00 μB per formula unit
symmetry = P-6 (174)
crystal system = hexagonal
calculated total energy = -5.294 eV per atom
energy of formation from the pure elements = 0.0404 eV per atom
mass density = 6033 kg/m3

Unit cell a=15.275 b=15.275 c=3.590 alpha=90.00 beta=90.00 gamma=120.00
Fractional coordinates of all 21 atoms:
Pr  0.000  0.000  0.000
Pr  0.333  0.667  0.500
Nd  0.052  0.254  0.500
Nd  0.128  0.713  0.000
Nd  0.203  0.948  0.500
Nd  0.287  0.415  0.000
Nd  0.416  0.150  0.000
Nd  0.493  0.395  0.500
Nd  0.585  0.872  0.000
Nd  0.605  0.098  0.500
Nd  0.734  0.584  0.000
Nd  0.746  0.797  0.500
Nd  0.850  0.266  0.000
Nd  0.902  0.507  0.500
Y  0.097  0.478  0.000
Y  0.234  0.188  0.500
Y  0.381  0.903  0.000
Y  0.522  0.619  0.000
Y  0.667  0.333  0.000
Y  0.812  0.046  0.500
Y  0.954  0.766  0.500

***

The following is a DFT calculation (PBE) of a geometry-optimized MnInCo2 structure.

Results
spin magnetization = 5.94 μB per formula unit
symmetry = F-43m (216)
crystal system = cubic
calculated total energy = -6.301 eV per atom
energy of formation from the pure elements = 0.2286 eV per atom
mass density = 8602 kg/m3

Unit cell a=4.282 b=4.282 c=4.282 alpha=60.00 beta=60.00 gamma=60.00
Fractional coordinates of all 4 atoms:
Mn  0.000  0.000  0.000
In  0.250  0.250  0.250
Co  0.500  0.500  0.500
Co  0.750  0.750  0.750

***

The following is a DFT calculation (PBE) of a geometry-optimized CePb3 structure.

Results
spin magnetization = 1.15 μB per formula unit
symmetry = I4/mmm (139)
crystal system = tetragonal
calculated total energy = -4.537 eV per atom
energy of formation from the pure elements = -0.2722 eV per atom
mass density = 10597 kg/m3

Unit cell a=6.327 b=6.327 c=6.327 alpha=136.29 beta=136.29 gamma=63.53
Fractional coordinates of all 4 atoms:
Ce  0.000  0.000  0.000
Pb  0.250  0.750  0.500
Pb  0.500  0.500  0.000
Pb  0.750  0.250  0.500

***

The following is a DFT calculation (PBE) of a geometry-optimized NbOsI3 structure.

Results
spin magnetization = 2.00 μB per formula unit
symmetry = Pm-3m (221)
crystal system = cubic
calculated total energy = -3.780 eV per atom
uncorrected formation energy = 1.410 eV per atom
mass density = 6158 kg/m3
distance to the lowest polymorph of the same formula = 83 meV/atom

Unit cell a=5.636 b=5.636 c=5.636 alpha=90.00 beta=90.00 gamma=90.00
Fractional coordinates of all 5 atoms:
Nb  0.000  0.000  0.000
Os  0.500  0.500  0.500
I  0.000  0.000  0.500
I  0.000  0.500  0.000
I  0.500  0.000  0.000

***

The following is a DFT calculation (PBE) of a geometry-optimized CaYIn2Te4 structure.

Results
spin magnetization = 0.00 μB per formula unit
symmetry = P2/m (10)
crystal system = monoclinic
calculated total energy = -4.238 eV per atom
uncorrected formation energy = -0.925 eV per atom
mass density = 5417 kg/m3

Unit cell a=7.792 b=4.443 c=8.104 alpha=90.00 beta=108.29 gamma=90.00
Fractional coordinates of all 8 atoms:
Ca  0.000  0.000  0.000
Y  0.500  0.500  0.000
In  0.000  0.500  0.500
In  0.500  0.000  0.500
Te  0.258  0.500  0.237
Te  0.267  0.000  0.769
Te  0.733  0.000  0.231
Te  0.742  0.500  0.763

***

The following is a DFT calculation (PBE) of a geometry-optimized La2GaSnIr structure.

Results
spin magnetization = 0.00 μB per formula unit
symmetry = P4/mmm (123)
crystal system = tetragonal
calculated total energy = -5.798 eV per atom
energy of formation from the pure elements = -0.6493 eV per atom
mass density = 7363 kg/m3

Unit cell a=5.546 b=5.546 c=4.829 alpha=90.00 beta=90.00 gamma=90.00
Fractional coordinates of all 5 atoms:
La  0.000  0.500  0.000
La  0.500  0.000  0.000
Ga  0.000  0.000  0.500
Sn  0.500  0.500  0.500
Ir  0.000  0.000  0.000

***

The following is a DFT calculation (PBE) of a geometry-optimized RbTeO2 structure.

Results
spin magnetization = 0.00 μB per formula unit
symmetry = I-42d (122)
crystal system = tetragonal
calculated total energy = -4.345 eV per atom
uncorrected formation energy = -0.839 eV per atom
mass density = 4276 kg/m3

Unit cell a=7.218 b=7.218 c=7.218 alpha=134.18 beta=134.18 gamma=66.81
Fractional coordinates of all 8 atoms:
Rb  0.000  0.000  0.000
Rb  0.750  0.250  0.500
Te  0.250  0.750  0.500
Te  0.500  0.500  0.000
O  0.246  0.625  0.121
O  0.375  0.496  0.621
O  0.504  0.125  0.879
O  0.875  0.754  0.379

***

The following is a DFT calculation (PBE) of a geometry-optimized InPPbO2 structure.

Results
spin magnetization = 0.76 μB per formula unit
symmetry = P4/mmm (123)
crystal system = tetragonal
calculated total energy = -4.567 eV per atom
uncorrected formation energy = -0.212 eV per atom
mass density = 6875 kg/m3
distance to the lowest polymorph of the same formula = 0 meV/atom

Unit cell a=4.179 b=4.179 c=5.324 alpha=90.00 beta=90.00 gamma=90.00
Fractional coordinates of all 5 atoms:
In  0.000  0.000  0.000
P  0.000  0.000  0.500
Pb  0.500  0.500  0.500
O  0.000  0.500  0.000
O  0.500  0.000  0.000

***

The following is a DFT calculation (PBE) of a geometry-optimized RbIn8Ag4 structure.

Results
spin magnetization = 0.00 μB per formula unit
symmetry = I4/mmm (139)
crystal system = tetragonal
calculated total energy = -2.676 eV per atom
energy of formation from the pure elements = -0.0386 eV per atom
mass density = 7496 kg/m3

Unit cell a=7.928 b=7.928 c=7.928 alpha=97.84 beta=97.84 gamma=136.64
Fractional coordinates of all 13 atoms:
Rb  0.000  0.000  0.000
In  0.000  0.351  0.351
In  0.000  0.649  0.649
In  0.280  0.500  0.780
In  0.351  0.000  0.351
In  0.500  0.280  0.780
In  0.500  0.720  0.220
In  0.649  0.000  0.649
In  0.720  0.500  0.220
Ag  0.000  0.000  0.500
Ag  0.000  0.500  0.000
Ag  0.500  0.000  0.000
Ag  0.500  0.500  0.500